P) ## AlRh4 (PBE)

Data for a relaxed AlRh4 crystal.

abc: 4.3982 4.3982 4.3982
angles: 90.00 90.00 90.00
With the nearest neighbours (Å) after each atom.
Element x y z (fractional)
Rh 0.5000 0.5000 0.0000  2 Al 2.20
Rh 0.0000 0.0000 0.0000  12 Rh 3.11
Al 0.5000 0.5000 0.5000  6 Rh 2.20
Rh 0.0000 0.5000 0.5000  2 Al 2.20
Rh 0.5000 0.0000 0.5000  2 Al 2.20

The theoretical density is 8.6 g/cm³. The magnetic moment is 3.09 μB/f.u.


Q) ## AlRh4 (PBE)

Data for a relaxed AlRh4 crystal.

abc: 4.7966 4.7966 4.7966
angles: 109.47 109.47 109.47
With the nearest neighbours (Å) after each atom.
Element x y z (fractional)
Rh 0.5000 0.0000 0.0000  2 Al 2.40
Al 0.0000 0.0000 0.0000  8 Rh 2.40
Rh 0.0000 0.0000 0.5000  2 Al 2.40
Rh 0.5000 0.5000 0.5000  2 Al 2.40
Rh 0.0000 0.5000 0.0000  2 Al 2.40

The theoretical density is 8.6 g/cm³. The magnetic moment is 2.36 μB/f.u.


Energies relative to the most stable structure are P) 0.314; Q) 0.000, reported in eV/atom.